This record from the Alexandria database describes a relaxed SrCoTc crystal. The functional is PBE.

Results
Uncorrected energy = -6.023 eV per atom
Total magnetization = 2.00 μB per cell
DOS at the Fermi energy = 3.11 states/eV/f.u.
Energy relative to the lowest polymorph listed for this composition = 89.1 meV per atom

extended XYZ file:
```
6
Lattice="5.639 -2.105 0.000 5.639 2.105 0.000 -1.132 0.000 5.184" Properties=species:S:1:pos:R:3 pbc="T T T"
Sr 0.000 0.000 0.000
Sr 5.074 0.000 2.592
Co 2.091 0.000 2.121
Co 8.056 0.000 3.063
Tc 1.962 0.000 4.572
Tc 8.185 0.000 0.612
```



This record from the Alexandria database describes a relaxed TcRuF2 crystal. The functional is PBE.

Results
Uncorrected formation energy = -422 meV per atom
Uncorrected energy = -6.268 eV per atom
Total magnetization = 0.54 μB per cell
DOS at the Fermi energy = 3.85 states/eV/f.u.
Energy relative to the lowest polymorph listed for this composition = 32.9 meV per atom

extended XYZ file:
```
4
Lattice="1.321 0.763 8.033 -1.321 0.763 8.033 0.000 -1.526 8.033" Properties=species:S:1:pos:R:3 pbc="T T T"
Tc 0.000 0.000 0.000
Ru 0.000 0.000 12.049
F 0.000 0.000 10.014
F 0.000 0.000 14.084
```



This record from the Alexandria database describes a relaxed KCdPS2 crystal. The functional is PBE.

Results
Uncorrected formation energy = 259 meV per atom
Uncorrected energy = -2.876 eV per atom
Total magnetization = 1.38 μB per cell
DOS at the Fermi energy = 4.82 states/eV/f.u.
Energy relative to the lowest polymorph listed for this composition = 0.0 meV per atom

extended XYZ file:
```
5
Lattice="5.207 0.000 0.000 0.000 5.207 0.000 0.000 0.000 5.045" Properties=species:S:1:pos:R:3 pbc="T T T"
K 0.000 0.000 0.000
Cd 2.603 2.603 2.522
P 2.603 2.603 0.000
S 0.000 2.603 2.522
S 2.603 0.000 2.522
```



This record from the Alexandria database describes a relaxed Er4Tm5Cd crystal. The functional is PBE.

Results
Uncorrected energy = -3.999 eV per atom
Total magnetization = 0.00 μB per cell
DOS at the Fermi energy = 12.03 states/eV/f.u.
Energy relative to the lowest polymorph listed for this composition = 194.9 meV per atom

extended XYZ file:
```
10
Lattice="-5.240 5.240 2.811 5.240 -5.240 2.811 5.240 5.240 -2.811" Properties=species:S:1:pos:R:3 pbc="T T T"
Er 3.372 0.000 0.000
Er 7.107 0.000 0.000
Er 0.000 3.372 0.000
Er 0.000 7.107 0.000
Tm 3.302 3.302 0.032
Tm 1.938 -1.938 2.843
Tm -1.938 1.938 2.843
Tm 1.938 1.938 2.843
Tm 0.000 0.000 4.490
Cd 0.000 0.000 1.575
```



This record from the Alexandria database describes a relaxed Th6Ge2PSe3 crystal. The functional is PBE.

Results
Uncorrected formation energy = -1344 meV per atom
Uncorrected energy = -7.145 eV per atom
Total magnetization = 0.00 μB per cell
DOS at the Fermi energy = 7.86 states/eV/f.u.

extended XYZ file:
```
12
Lattice="9.223 -2.128 0.000 9.223 2.128 0.000 -1.904 0.000 8.225" Properties=species:S:1:pos:R:3 pbc="T T T"
Th -0.435 0.000 1.932
Th 5.307 0.000 3.472
Th 4.524 0.000 7.527
Th 12.017 0.000 0.698
Th 11.234 0.000 4.752
Th 16.976 0.000 6.292
Ge 2.426 0.000 2.731
Ge 14.115 0.000 5.494
P 9.223 0.000 0.000
Se 1.537 0.000 6.858
Se 8.271 0.000 4.112
Se 15.004 0.000 1.367
```



This record from the Alexandria database describes a relaxed Ni5AuI12 crystal. The functional is PBE.

Results
Uncorrected formation energy = -50 meV per atom
Uncorrected energy = -2.872 eV per atom
Total magnetization = 9.16 μB per cell
DOS at the Fermi energy = 8.92 states/eV/f.u.

extended XYZ file:
```
18
Lattice="3.452 -5.980 0.000 3.452 5.980 0.000 -0.060 0.000 14.800" Properties=species:S:1:pos:R:3 pbc="T T T"
Ni 0.000 0.000 0.000
Ni 3.422 3.988 7.400
Ni 3.452 1.993 0.000
Ni 3.452 -1.993 0.000
Ni 3.422 -3.988 7.400
Au 3.422 0.000 7.400
I 2.302 3.987 1.496
I 2.182 2.153 5.829
I 0.932 0.000 8.975
I 4.543 3.987 13.304
I 2.301 0.000 1.496
I 2.182 -2.153 5.829
I 4.663 2.153 8.971
I 4.543 0.000 13.304
I 2.302 -3.987 1.496
I 5.913 0.000 5.825
I 4.663 -2.153 8.971
I 4.543 -3.987 13.304
```



This record from the Alexandria database describes a relaxed Ba4NaSn2 crystal. The functional is PBE.

Results
Uncorrected energy = -2.902 eV per atom
Total magnetization = 0.00 μB per cell
DOS at the Fermi energy = 4.33 states/eV/f.u.

extended XYZ file:
```
7
Lattice="3.024 1.746 9.764 -3.024 1.746 9.764 0.000 -3.492 9.764" Properties=species:S:1:pos:R:3 pbc="T T T"
Ba 0.000 0.000 3.484
Ba 0.000 0.000 10.861
Ba 0.000 0.000 18.431
Ba 0.000 0.000 25.808
Na 0.000 0.000 14.646
Sn 0.000 0.000 7.212
Sn 0.000 0.000 22.081
```



This record from the Alexandria database describes a relaxed CaAlCd crystal. The functional is PBE.

Results
Uncorrected energy = -2.273 eV per atom
Total magnetization = 0.00 μB per cell
DOS at the Fermi energy = 3.50 states/eV/f.u.

extended XYZ file:
```
3
Lattice="0.000 3.454 3.454 3.454 0.000 3.454 3.454 3.454 0.000" Properties=species:S:1:pos:R:3 pbc="T T T"
Ca 0.000 0.000 0.000
Al 3.454 3.454 3.454
Cd 1.727 1.727 1.727
```



Which value of DOS at the Fermi energy does entry 1 give?
3.11 states/eV/f.u.



What did the eighth record say?
This record from the Alexandria database describes a relaxed CaAlCd crystal. The functional is PBE.

Results
Uncorrected energy = -2.273 eV per atom
Total magnetization = 0.00 μB per cell
DOS at the Fermi energy = 3.50 states/eV/f.u.

extended XYZ file:
```
3
Lattice="0.000 3.454 3.454 3.454 0.000 3.454 3.454 3.454 0.000" Properties=species:S:1:pos:R:3 pbc="T T T"
Ca 0.000 0.000 0.000
Al 3.454 3.454 3.454
Cd 1.727 1.727 1.727
```



What is the DOS at the Fermi energy in the third record?
4.82 states/eV/f.u.



Number 3 is which compound?
KCdPS2